A geometry-optimized NaNb2Ir structure, computed with PBE-GGA.

```
NaNb2Ir
1.0
0.000 3.250 3.250
3.250 0.000 3.250
3.250 3.250 0.000
Na Nb Ir
1 2 1
Direct
0.000 0.000 0.000
0.250 0.250 0.250
0.750 0.750 0.750
0.500 0.500 0.500
```

- ΔH_f (0 K) (meV per atom) = 380
- DOS(E_F) (states/eV per atom) = 1.3101